# CeSmTe

A relaxed structure of CeSmTe (GGA-PBE, Alexandria). Values from VASP.

The structure in Quantum ESPRESSO input format:
```
&SYSTEM
  ibrav = 0, nat = 3, ntyp = 3
/
ATOMIC_SPECIES
Ce 140.12 Ce.upf
Sm 150.36 Sm.upf
Te 127.60 Te.upf
CELL_PARAMETERS angstrom
5.282 0.000 0.000
-2.641 4.574 0.000
0.000 0.000 3.892
ATOMIC_POSITIONS crystal
Ce 0.000 0.000 0.000
Sm 0.667 0.333 0.500
Te 0.333 0.667 0.500
```

Fermi-level density of states ... 7.6 states/eV/cell
E above lowest polymorph ... 479 meV/atom
Uncorrected energy ... -5.0674 eV/atom

---

# CeSm6Te8

A relaxed structure of CeSm6Te8 (GGA-PBE, Alexandria). Values from VASP.

The structure in Quantum ESPRESSO input format:
```
&SYSTEM
  ibrav = 0, nat = 15, ntyp = 3
/
ATOMIC_SPECIES
Ce 140.12 Ce.upf
Sm 150.36 Sm.upf
Te 127.60 Te.upf
CELL_PARAMETERS angstrom
0.000 6.270 6.270
6.270 0.000 6.270
6.270 6.270 0.000
ATOMIC_POSITIONS crystal
Ce 0.000 0.000 0.000
Sm 0.000 0.000 0.500
Sm 0.000 0.500 0.000
Sm 0.000 0.500 0.500
Sm 0.500 0.000 0.000
Sm 0.500 0.000 0.500
Sm 0.500 0.500 0.000
Te 0.250 0.250 0.250
Te 0.258 0.258 0.742
Te 0.258 0.742 0.258
Te 0.258 0.742 0.742
Te 0.742 0.258 0.258
Te 0.742 0.258 0.742
Te 0.742 0.742 0.258
Te 0.750 0.750 0.750
```

Fermi-level density of states ... 15.5 states/eV/cell
E above lowest polymorph ... 0 meV/atom
Uncorrected energy ... -5.3729 eV/atom

---

# CeSmTe

A relaxed structure of CeSmTe (GGA-PBE, Alexandria). Values from VASP.

The structure in Quantum ESPRESSO input format:
```
&SYSTEM
  ibrav = 0, nat = 6, ntyp = 3
/
ATOMIC_SPECIES
Ce 140.12 Ce.upf
Sm 150.36 Sm.upf
Te 127.60 Te.upf
CELL_PARAMETERS angstrom
-2.186 2.186 8.836
2.186 -2.186 8.836
2.186 2.186 -8.836
ATOMIC_POSITIONS crystal
Ce 0.000 0.500 0.500
Ce 0.500 0.000 0.500
Sm 0.180 0.180 0.000
Sm 0.820 0.820 0.000
Te 0.361 0.361 0.000
Te 0.639 0.639 0.000
```

Fermi-level density of states ... 9.8 states/eV/cell
E above lowest polymorph ... 0 meV/atom
Uncorrected energy ... -5.5463 eV/atom

---

# Ce2Sm3Te8

A relaxed structure of Ce2Sm3Te8 (GGA-PBE, Alexandria). Values from VASP.

The structure in Quantum ESPRESSO input format:
```
&SYSTEM
  ibrav = 0, nat = 13, ntyp = 3
/
ATOMIC_SPECIES
Ce 140.12 Ce.upf
Sm 150.36 Sm.upf
Te 127.60 Te.upf
CELL_PARAMETERS angstrom
5.390 -7.681 0.000
5.390 7.681 0.000
0.000 0.000 5.380
ATOMIC_POSITIONS crystal
Ce 0.240 0.760 0.000
Ce 0.760 0.240 0.000
Sm 0.224 0.224 0.500
Sm 0.500 0.500 0.000
Sm 0.776 0.776 0.500
Te 0.130 0.870 0.500
Te 0.136 0.383 0.000
Te 0.381 0.619 0.500
Te 0.383 0.136 0.000
Te 0.617 0.864 0.000
Te 0.619 0.381 0.500
Te 0.864 0.617 0.000
Te 0.870 0.130 0.500
```

Fermi-level density of states ... 12.2 states/eV/cell
Uncorrected energy ... -5.1547 eV/atom

---

# CeSm3Te4

A relaxed structure of CeSm3Te4 (GGA-PBE, Alexandria). Values from VASP.

The structure in Quantum ESPRESSO input format:
```
&SYSTEM
  ibrav = 0, nat = 8, ntyp = 3
/
ATOMIC_SPECIES
Ce 140.12 Ce.upf
Sm 150.36 Sm.upf
Te 127.60 Te.upf
CELL_PARAMETERS angstrom
4.496 -6.299 0.000
4.496 6.299 0.000
0.000 0.000 4.416
ATOMIC_POSITIONS crystal
Ce 0.000 0.000 0.000
Sm 0.000 0.500 0.500
Sm 0.500 0.000 0.500
Sm 0.500 0.500 0.000
Te 0.251 0.749 0.000
Te 0.252 0.252 0.500
Te 0.748 0.748 0.500
Te 0.749 0.251 0.000
```

Fermi-level density of states ... 10.6 states/eV/cell
Uncorrected energy ... -5.4658 eV/atom

---

# CeSmTe

A relaxed structure of CeSmTe (GGA-PBE, Alexandria). Values from VASP.

The structure in Quantum ESPRESSO input format:
```
&SYSTEM
  ibrav = 0, nat = 6, ntyp = 3
/
ATOMIC_SPECIES
Ce 140.12 Ce.upf
Sm 150.36 Sm.upf
Te 127.60 Te.upf
CELL_PARAMETERS angstrom
4.154 0.000 0.000
0.000 4.378 0.000
-0.781 0.000 10.164
ATOMIC_POSITIONS crystal
Ce 0.161 0.250 0.055
Ce 0.839 0.750 0.945
Sm 0.292 0.250 0.705
Sm 0.708 0.750 0.295
Te 0.222 0.250 0.374
Te 0.778 0.750 0.626
```

Fermi-level density of states ... 7.8 states/eV/cell
E above lowest polymorph ... 124 meV/atom
Uncorrected energy ... -5.4222 eV/atom

---

| no. | calculated density (g cm⁻³) | V (Å³/atom) | magnetic moment (μB per formula unit) |
| --- | --- | --- | --- |
| 1 | 7.4 | 31.348 | 1.97 |
| 2 | 6.9 | 32.863 | 1.40 |
| 3 | 8.2 | 28.160 | 0.42 |
| 4 | 6.5 | 34.265 | 1.40 |
| 5 | 7.3 | 31.264 | 1.21 |
| 6 | 7.5 | 30.804 | 0.01 |